1.
A plane-wave DFT calculation with PBEsol was carried out for a relaxed structure of AlAgAu2S.

* SG: P4/mmm, No. 123
* total magnetic moment: 0.000 μB/atom
* theoretical density: 8.71 g cm⁻³
* formation energy without anion corrections: 503 meV/atom
* DFT total energy: -3.42 eV/atom
* volume: 21.39 Å³/atom

a b c (Å): 4.585 4.830 4.830
angles (deg): 90.00 90.00 90.00
Element x y z (fractional)
Al 0.500 0.500 0.500
S 0.000 0.000 0.000
Ag 0.500 0.000 0.000
Au 0.000 0.500 0.000
Au 0.000 0.000 0.500

---

2.
A plane-wave DFT calculation with PBEsol was carried out for a relaxed structure of BeCd2W.

* SG: Immm, No. 71
* total magnetic moment: 0.000 μB/atom
* theoretical density: 11.25 g cm⁻³
* formation energy: 217 kJ/mol of formula units
* DFT total energy: -4.49 eV/atom
* volume: 15.41 Å³/atom

a b c (Å): 2.805 4.573 5.503
angles (deg): 114.55 104.77 90.00
Element x y z (fractional)
Cd 0.716 0.716 0.431
Cd 0.284 0.284 0.569
Be 0.000 0.500 0.000
W 0.500 0.000 0.000

---

3.
A plane-wave DFT calculation with PBEsol was carried out for a relaxed structure of CdInN2O.

* SG: P4/mmm, No. 123
* total magnetic moment: 0.401 μB/atom
* theoretical density: 6.30 g cm⁻³
* formation energy without anion corrections: 1343 meV/atom
* DFT total energy: -3.95 eV/atom
* volume: 14.29 Å³/atom

a b c (Å): 4.158 4.158 4.132
angles (deg): 90.00 90.00 90.00
Last column: magnetic moment on the atom in μB.
Element x y z (fractional)
N 0.000 0.500 0.000  0.66
Cd 0.000 0.000 0.000  0.04
O 0.000 0.000 0.500  0.17
N 0.500 0.000 0.000  0.66
In 0.500 0.500 0.500  -0.06

---

4.
A plane-wave DFT calculation with PBEsol was carried out for a relaxed structure of CuRh3.

* SG: Pnma, No. 62
* total magnetic moment: 0.000 μB/atom
* theoretical density: 11.79 g cm⁻³
* formation energy: 32 kJ/mol of formula units
* DFT total energy: -7.10 eV/atom
* volume: 13.11 Å³/atom

a b c (Å): 4.601 5.304 8.593
angles (deg): 90.00 90.00 90.00
Element x y z (fractional)
Rh 0.249 0.622 0.499
Cu 0.584 0.634 0.750
Rh 0.420 0.869 0.250
Rh 0.751 0.378 0.999
Cu 0.916 0.134 0.250
Rh 0.751 0.378 0.501
Rh 0.749 0.878 0.499
Rh 0.249 0.622 0.001
Rh 0.251 0.122 0.999
Rh 0.580 0.131 0.750
Rh 0.749 0.878 0.001
Cu 0.084 0.866 0.750
Rh 0.251 0.122 0.501
Rh 0.080 0.369 0.750
Rh 0.920 0.631 0.250
Cu 0.416 0.366 0.250

---

5.
A plane-wave DFT calculation with PBEsol was carried out for a relaxed structure of AlSi8Ni2.

* SG: P4/mmm, No. 123
* total magnetic moment: 0.000 μB/atom
* theoretical density: 3.89 g cm⁻³
* formation energy without anion corrections: 130 meV/atom
* DFT total energy: -5.54 eV/atom
* volume: 14.31 Å³/atom

a b c (Å): 3.427 3.427 13.403
angles (deg): 90.00 90.00 90.00
Element x y z (fractional)
Si 0.000 0.500 0.846
Si 0.000 0.500 0.500
Si 0.500 0.500 0.655
Ni 0.000 0.000 0.722
Si 0.500 0.000 0.154
Si 0.500 0.000 0.846
Si 0.000 0.500 0.154
Si 0.500 0.500 0.345
Al 0.000 0.000 0.000
Si 0.500 0.000 0.500
Ni 0.000 0.000 0.278

---

6.
A plane-wave DFT calculation with PBEsol was carried out for a relaxed structure of FeC2S2.

* SG: P4/mbm, No. 127
* total magnetic moment: 0.490 μB/atom
* theoretical density: 4.12 g cm⁻³
* formation energy without anion corrections: 1283 meV/atom
* DFT total energy: -6.12 eV/atom
* volume: 11.60 Å³/atom

a b c (Å): 2.718 6.534 6.534
angles (deg): 90.00 90.00 90.00
Last column: magnetic moment on the atom in μB.
Element x y z (fractional)
C 0.500 0.274 0.226  0.00
C 0.500 0.726 0.774  0.00
S 0.000 0.842 0.658  -0.01
Fe 0.000 0.000 0.000  2.51
C 0.500 0.774 0.274  0.00
S 0.000 0.658 0.158  -0.01
Fe 0.000 0.500 0.500  2.51
S 0.000 0.342 0.842  -0.01
S 0.000 0.158 0.342  -0.01
C 0.500 0.226 0.726  0.00

---

7.
A plane-wave DFT calculation with PBEsol was carried out for a relaxed structure of Be5Cu.

* SG: P4/mmm, No. 123
* total magnetic moment: 0.000 μB/atom
* theoretical density: 3.60 g cm⁻³
* formation energy: -5 kJ/mol of formula units
* DFT total energy: -4.06 eV/atom
* volume: 8.35 Å³/atom

a b c (Å): 2.587 2.587 7.486
angles (deg): 90.00 90.00 90.00
Element x y z (fractional)
Be 0.500 0.500 0.662
Be 0.000 0.000 0.500
Cu 0.500 0.500 0.000
Be 0.500 0.500 0.338
Be 0.000 0.000 0.823
Be 0.000 0.000 0.177

---

8.
A plane-wave DFT calculation with PBEsol was carried out for a relaxed structure of Sr5Hg3.

* SG: I4/mcm, No. 140
* total magnetic moment: 0.000 μB/atom
* theoretical density: 6.09 g cm⁻³
* formation energy: -310 kJ/mol of formula units
* ΔE to the lowest computed polymorph: 0.018 eV per atom
* DFT total energy: -1.76 eV/atom
* volume: 35.42 Å³/atom

a b c (Å): 6.891 9.701 9.701
angles (deg): 82.75 69.20 69.20
Element x y z (fractional)
Sr 0.210 0.709 0.871
Sr 0.710 0.871 0.709
Hg 0.750 0.000 0.000
Hg 0.250 0.000 0.000
Sr 0.081 0.129 0.709
Sr 0.581 0.709 0.129
Hg 0.659 0.182 0.500
Hg 0.841 0.500 0.818
Hg 0.159 0.500 0.182
Sr 0.750 0.500 0.500
Sr 0.790 0.291 0.129
Sr 0.250 0.500 0.500
Hg 0.341 0.818 0.500
Sr 0.919 0.871 0.291
Sr 0.419 0.291 0.871
Sr 0.290 0.129 0.291

---

9.
A plane-wave DFT calculation with PBEsol was carried out for a relaxed structure of Sr2SO.

* SG: P4/mmm, No. 123
* total magnetic moment: 0.000 μB/atom
* theoretical density: 4.14 g cm⁻³
* formation energy without anion corrections: -2240 meV/atom
* ΔE to the lowest computed polymorph: 0.043 eV per atom
* DFT total energy: -5.57 eV/atom
* volume: 22.40 Å³/atom

a b c (Å): 3.984 3.984 5.643
angles (deg): 90.00 90.00 90.00
Element x y z (fractional)
S 0.000 0.000 0.500
O 0.500 0.500 0.000
Sr 0.000 0.000 0.000
Sr 0.500 0.500 0.500

---

10.
A plane-wave DFT calculation with PBEsol was carried out for a relaxed structure of TaBe2Tl.

* SG: Cmm2, No. 35
* total magnetic moment: 0.000 μB/atom
* theoretical density: 11.62 g cm⁻³
* formation energy: 155 kJ/mol of formula units
* ΔE to the lowest computed polymorph: 0.000 eV per atom
* DFT total energy: -5.39 eV/atom
* volume: 14.41 Å³/atom

a b c (Å): 2.953 2.953 6.614
angles (deg): 90.00 90.00 90.57
Element x y z (fractional)
Be 0.000 0.000 0.936
Be 0.500 0.500 0.795
Ta 0.000 0.000 0.555
Tl 0.500 0.500 0.214

---

11.
A plane-wave DFT calculation with PBEsol was carried out for a relaxed structure of Ba5Hf4S13.

* SG: I4/mmm, No. 139
* total magnetic moment: 0.000 μB/atom
* theoretical density: 5.49 g cm⁻³
* formation energy without anion corrections: -1895 meV/atom
* DFT total energy: -6.88 eV/atom
* volume: 24.99 Å³/atom

a b c (Å): 4.937 4.937 22.824
angles (deg): 96.21 96.21 90.00
Element x y z (fractional)
S 0.221 0.221 0.442
S 0.110 0.110 0.220
Ba 0.393 0.393 0.786
Hf 0.945 0.945 0.890
S 0.779 0.779 0.558
Hf 0.055 0.055 0.110
S 0.163 0.663 0.326
S 0.055 0.555 0.109
Ba 0.711 0.711 0.421
Ba 0.500 0.500 0.000
S 0.000 0.000 0.000
S 0.337 0.837 0.674
S 0.837 0.337 0.674
Hf 0.166 0.166 0.333
Ba 0.607 0.607 0.214
S 0.555 0.055 0.109
Ba 0.289 0.289 0.579
S 0.945 0.445 0.891
S 0.445 0.945 0.891
S 0.663 0.163 0.326
Hf 0.834 0.834 0.667
S 0.890 0.890 0.780

---

12.
A plane-wave DFT calculation with PBEsol was carried out for a relaxed structure of Mn2SiW.

* SG: R3m, No. 160
* total magnetic moment: 0.005 μB/atom
* theoretical density: 10.79 g cm⁻³
* formation energy without anion corrections: 129 meV/atom
* DFT total energy: -9.64 eV/atom
* volume: 12.39 Å³/atom

a b c (Å): 2.656 2.656 8.254
angles (deg): 80.74 80.74 60.00
Last column: magnetic moment on the atom in μB.
Element x y z (fractional)
Mn 0.748 0.748 0.756  -0.05
Mn 0.008 0.008 0.976  0.07
W 0.251 0.251 0.247  0.00
Si 0.493 0.493 0.522  0.00

---

- The highest total magnetic moment belongs to which entry?
  FeC2S2